MnSbTe2O after structural relaxation. Source: Alexandria via LeMat-Bulk, functional GGA+U.

Computed properties:
D(E_F) = 3.01 states/eV per cell
Space-group type = P4/mmm, No. 123
Energy relative to the lowest polymorph listed for this composition = 0 meV per atom
Spin magnetization = 4.54 μB per formula unit
ρ = 6.55 Mg/m³
VASP energy = -22.09 eV for the cell shown

Cell lengths 4.8643, 4.8643, 4.8019 Å; angles 90.00, 90.00, 90.00 degrees
Closest atoms and distances in Å follow each position.
Atoms (fractional coordinates):
Mn1 0.0000 0.0000 0.0000  8 Te 3.42, 4 Sb 3.44
Sb1 0.5000 0.5000 0.0000  2 O 2.40
Te1 0.0000 0.5000 0.5000  2 O 2.43
Te2 0.5000 0.0000 0.5000  2 O 2.43
O1 0.5000 0.5000 0.5000  2 Sb 2.40, 4 Te 2.43